No. 1
Here is Ce4Sb2P after structural relaxation from the Alexandria database. Energies are from PBE.

Output
Crystal system = orthorhombic
Formation energy without anion corrections = -89.1 kJ per mole of atoms

Unit cell a=8.068 b=12.401 c=4.366 alpha=90.00 beta=90.00 gamma=90.00
Space group Pbam (No. 55)
Symmetry-distinct sites (fractional):
Ce1 0.129 0.207 0.000 x4
Ce2 0.220 0.940 0.500 x4
Sb1 0.092 0.676 0.500 x4
P1 0.000 0.000 0.000 x2


No. 2
Here is HoTh2Os after structural relaxation from the Alexandria database. Energies are from PBE.

Output
Crystal system = orthorhombic
Energy of formation = -0.228 eV per atom

Unit cell a=7.270 b=9.844 c=6.286 alpha=90.00 beta=90.00 gamma=90.00
Space group Pnma (No. 62)
Symmetry-distinct sites (fractional):
Ho1 0.039 0.250 0.147 x4
Th1 0.170 0.062 0.667 x8
Os1 0.119 0.750 0.412 x4


No. 3
Here is CeY10Tm4 after structural relaxation from the Alexandria database. Energies are from PBE.

Output
Crystal system = tetragonal
Energy of formation = 0.757 eV per atom

Unit cell a=12.118 b=12.118 c=7.658 alpha=90.00 beta=90.00 gamma=90.00
Space group I4/m (No. 87)
Symmetry-distinct sites (fractional):
Ce1 0.000 0.000 0.000 x2
Y1 0.000 0.500 0.250 x4
Y2 0.100 0.198 0.250 x16
Tm1 0.100 0.699 0.500 x8


no.,total DFT energy (no corrections) (eV/cell)
1,-87.72
2,-126.23
3,-154.22